(1)
{
  "formula": "LaTi2PW",
  "functional": "PBE",
  "state": "optimized geometry",
  "cell": [[4.704, 0.000, 0.000], [0.000, 4.704, 0.000], [0.000, 0.000, 5.758]],
  "species": ["La", "Ti", "Ti", "P", "W"],
  "frac_coords": [[0.000, 0.000, 0.000], [0.000, 0.500, 0.500], [0.500, 0.000, 0.500], [0.500, 0.500, 0.000], [0.000, 0.000, 0.500]],
  "formation_energy_ev_per_atom": 0.7461,
  "dos_at_fermi_per_ev_atom": 1.317
}



(2)
{
  "formula": "Mg2Te",
  "functional": "PBE",
  "state": "optimized geometry",
  "cell": [[-1.915, 1.915, 11.267], [1.915, -1.915, 11.267], [1.915, 1.915, -11.267]],
  "species": ["Mg", "Mg", "Mg", "Mg", "Te", "Te"],
  "frac_coords": [[0.306, 0.556, 0.750], [0.444, 0.694, 0.750], [0.556, 0.306, 0.250], [0.694, 0.444, 0.250], [0.125, 0.875, 0.250], [0.875, 0.125, 0.750]],
  "dft_energy_ev_per_cell": -13.974,
  "dos_at_fermi_per_ev_atom": 0.472
}



(3)
{
  "formula": "ScBeSi2Rh",
  "functional": "PBE",
  "state": "optimized geometry",
  "cell": [[4.290, 0.000, 0.000], [0.000, 4.290, 0.000], [0.000, 0.000, 4.115]],
  "species": ["Sc", "Be", "Si", "Si", "Rh"],
  "frac_coords": [[0.000, 0.000, 0.000], [0.500, 0.500, 0.500], [0.000, 0.500, 0.500], [0.500, 0.000, 0.500], [0.500, 0.500, 0.000]],
  "relative_energy_ev_per_fu": 3.51,
  "dos_at_fermi_per_ev_atom": 0.574
}